Record 1
Below is crystalline Nd12Sm7Th at its relaxed geometry, with properties calculated at the PBE level.

```
data_Nd12Sm7Th
_space_group_name_H-M_alt 'R -3 m'
_space_group_IT_number 166
_space_group_name_Hall '-R 3 2"'
_cell_length_a 13.6921
_cell_length_b 13.6921
_cell_length_c 12.7768
_cell_angle_alpha 90.00
_cell_angle_beta 90.00
_cell_angle_gamma 120.00
loop_
_atom_site_label
_atom_site_type_symbol
_atom_site_fract_x
_atom_site_fract_y
_atom_site_fract_z
Nd1 Nd 0.0000 0.2583 0.0000
Nd2 Nd 0.0460 0.5230 0.1146
Sm1 Sm 0.0000 0.0000 0.5000
Sm2 Sm 0.0871 0.1742 0.7670
Th1 Th 0.0000 0.0000 0.0000
```

Properties
As for the formation energy: 0.089 eV per atom. For the calculated volume, the calculation gives 2074 Å³ per cell. The crystal system is trigonal. The energy above the most stable polymorph in this dataset comes out at 0.0 meV/atom. For the energy, the calculation gives -4.794 eV/atom.

=====

Record 2
Below is crystalline HgMoSe2 at its relaxed geometry, with properties calculated at the PBE level.

```
data_HgMoSe2
_space_group_name_H-M_alt 'C m m m'
_space_group_IT_number 65
_space_group_name_Hall '-C 2 2'
_cell_length_a 3.239
_cell_length_b 5.151
_cell_length_c 10.758
_cell_angle_alpha 90.00
_cell_angle_beta 90.00
_cell_angle_gamma 90.00
loop_
_atom_site_label
_atom_site_type_symbol
_atom_site_fract_x
_atom_site_fract_y
_atom_site_fract_z
Hg1 Hg 0.000 0.000 0.000
Mo1 Mo 0.000 0.000 0.500
Se1 Se 0.000 0.500 0.314
```

Properties
For the calculated volume, the calculation gives 179 Å³ per cell. The crystal system is orthorhombic. The calculation puts the uncorrected formation energy at 0.151 eV/atom. For the energy, the calculation gives -4.374 eV/atom.

=====

Record 3
Below is crystalline Ca4GaHg at its relaxed geometry, with properties calculated at the PBE level.

```
data_Ca4GaHg
_space_group_name_H-M_alt 'P 4/m m m'
_space_group_IT_number 123
_space_group_name_Hall '-P 4 2'
_cell_length_a 3.780
_cell_length_b 3.780
_cell_length_c 13.109
_cell_angle_alpha 90.00
_cell_angle_beta 90.00
_cell_angle_gamma 90.00
loop_
_atom_site_label
_atom_site_type_symbol
_atom_site_fract_x
_atom_site_fract_y
_atom_site_fract_z
Ca1 Ca 0.000 0.000 0.132
Ca2 Ca 0.500 0.500 0.360
Ga1 Ga 0.500 0.500 0.000
Hg1 Hg 0.000 0.000 0.500
```

Properties
As for the formation energy: -0.355 eV per atom. For the calculated volume, the calculation gives 187 Å³ per cell. The crystal system is tetragonal. The energy above the most stable polymorph in this dataset comes out at 0.0 meV/atom. For the energy, the calculation gives -2.244 eV/atom.

=====

Record 4
Below is crystalline SrSbIr2 at its relaxed geometry, with properties calculated at the PBE level.

```
data_SrSbIr2
_space_group_name_H-M_alt 'P 4/m m m'
_space_group_IT_number 123
_space_group_name_Hall '-P 4 2'
_cell_length_a 4.505
_cell_length_b 4.505
_cell_length_c 3.896
_cell_angle_alpha 90.00
_cell_angle_beta 90.00
_cell_angle_gamma 90.00
loop_
_atom_site_label
_atom_site_type_symbol
_atom_site_fract_x
_atom_site_fract_y
_atom_site_fract_z
Sr1 Sr 0.000 0.000 0.000
Sb1 Sb 0.500 0.500 0.000
Ir1 Ir 0.000 0.500 0.500
```

Properties
For the calculated volume, the calculation gives 79 Å³ per cell. The crystal system is tetragonal. The calculation puts the uncorrected formation energy at 0.102 eV/atom. For the energy, the calculation gives -5.779 eV/atom.

=====

Record 5
Below is crystalline HoCdAg3 at its relaxed geometry, with properties calculated at the PBE level.

```
data_HoCdAg3
_space_group_name_H-M_alt 'P 1 21/m 1'
_space_group_IT_number 11
_space_group_name_Hall '-P 2yb'
_cell_length_a 5.024
_cell_length_b 6.220
_cell_length_c 7.139
_cell_angle_alpha 90.00
_cell_angle_beta 109.56
_cell_angle_gamma 90.00
loop_
_atom_site_label
_atom_site_type_symbol
_atom_site_fract_x
_atom_site_fract_y
_atom_site_fract_z
Ho1 Ho 0.109 0.250 0.215
Cd1 Cd 0.132 0.750 0.276
Ag1 Ag 0.317 0.503 0.632
Ag2 Ag 0.498 0.250 0.982
```

Properties
As for the formation energy: -0.149 eV per atom. For the calculated volume, the calculation gives 210 Å³ per cell. The crystal system is monoclinic. The energy above the most stable polymorph in this dataset comes out at 66.0 meV/atom. For the energy, the calculation gives -2.958 eV/atom.

=====

Record 6
Below is crystalline Ca2In3Hg4 at its relaxed geometry, with properties calculated at the PBE level.

```
data_Ca2In3Hg4
_space_group_name_H-M_alt 'C m c e'
_space_group_IT_number 64
_space_group_name_Hall '-C 2ac 2'
_cell_length_a 6.426
_cell_length_b 16.953
_cell_length_c 8.889
_cell_angle_alpha 90.00
_cell_angle_beta 90.00
_cell_angle_gamma 90.00
loop_
_atom_site_label
_atom_site_type_symbol
_atom_site_fract_x
_atom_site_fract_y
_atom_site_fract_z
Ca1 Ca 0.000 0.111 0.082
In1 In 0.000 0.000 0.500
In2 In 0.250 0.219 0.750
Hg1 Hg 0.000 0.176 0.454
Hg2 Hg 0.250 0.045 0.750
```

Properties
As for the formation energy: -0.267 eV per atom. For the calculated volume, the calculation gives 968 Å³ per cell. The crystal system is orthorhombic. The energy above the most stable polymorph in this dataset comes out at 63.4 meV/atom. For the energy, the calculation gives -1.758 eV/atom.